1.
Density functional theory data (GGA-PBE) for an optimized crystal structure of MgCuAs.

CIF file:
```
data_MgCuAs
_space_group_name_H-M_alt 'P 1'
_space_group_IT_number 1
_cell_length_a 4.1829
_cell_length_b 4.1885
_cell_length_c 7.1869
_cell_angle_alpha 73.52
_cell_angle_beta 73.45
_cell_angle_gamma 60.39
loop_
_space_group_symop_operation_xyz
'x,y,z'
loop_
_atom_site_label
_atom_site_fract_x
_atom_site_fract_y
_atom_site_fract_z
_atom_site_occupancy
Mg1 0.0000 0.0000 0.0000 1
Mg2 0.4524 0.4500 0.6348 1
Cu1 0.5938 0.5938 0.2142 1
Cu2 0.8572 0.8561 0.4216 1
As1 0.2259 0.2256 0.3164 1
As2 0.7264 0.7251 0.8170 1
```

Properties
E_tot	-22.30	eV per cell
energy relative to the elements	-0.269	eV/atom
spin magnetization	0.00	μB per formula unit

***

2.
Density functional theory data (GGA-PBE) for an optimized crystal structure of MgCuAs2.

CIF file:
```
data_MgCuAs2
_space_group_name_H-M_alt 'P 1 2/m 1'
_space_group_IT_number 10
_cell_length_a 3.7544
_cell_length_b 3.8037
_cell_length_c 5.5152
_cell_angle_alpha 90.00
_cell_angle_beta 103.01
_cell_angle_gamma 90.00
loop_
_space_group_symop_operation_xyz
'x,y,z'
'-x,-y,-z'
'-x,y,-z'
'x,-y,z'
loop_
_atom_site_label
_atom_site_fract_x
_atom_site_fract_y
_atom_site_fract_z
_atom_site_occupancy
Mg1 0.0000 0.0000 0.0000 1
Cu1 0.5000 0.0000 0.5000 1
As1 0.4151 0.5000 0.7630 1
```

Properties
E_tot	-15.29	eV per cell
energy relative to the elements	-0.076	eV/atom
spin magnetization	0.00	μB per formula unit